[1]
Below is Cs2YAuI6 after structural relaxation, with properties calculated at the GGA-PBE level.

The structure in POSCAR format:
```
Cs2YAuI6
1.0
8.405 0.000 0.000
-1.756 8.393 0.000
-3.336 -4.089 6.794
Cs Y Au I
2 1 1 6
Direct
0.250 0.249 0.498
0.750 0.751 0.502
0.000 0.500 0.000
0.500 0.000 0.000
0.194 0.858 0.003
0.220 0.718 0.446
0.286 0.343 0.004
0.714 0.657 0.996
0.780 0.282 0.554
0.806 0.142 0.997
```

Crystal system: triclinic
V: 47.921 Å³ per atom
Symmetry: No. 2
Relative energy among the computed polymorphs: 0 meV per atom
Size of the total moment: 0.0 μB/f.u.

=====

[2]
Below is Ce2PmTaN4 after structural relaxation, with properties calculated at the GGA-PBE level.

The structure in POSCAR format:
```
Ce2PmTaN4
1.0
5.986 0.000 0.000
0.000 3.400 0.000
-1.937 0.000 5.667
Ce Pm Ta N
2 1 1 4
Direct
0.000 0.000 0.000
0.500 0.500 0.000
0.000 0.500 0.500
0.500 0.000 0.500
0.281 0.000 0.730
0.286 0.500 0.281
0.714 0.500 0.719
0.719 0.000 0.270
```

Crystal system: monoclinic
V: 14.418 Å³ per atom
Symmetry: No. 10
Size of the total moment: 0.0 μB/f.u.

=====

| no. | raw formation energy (meV per atom) |
| --- | --- |
| 1 | -1178 |
| 2 | -1379 |